Entry 1:
! YCr2Ir | Alexandria | GGA-PBE | relaxed; values from VASP
! Magnetic moment (μB/atom): 1.36
! E above lowest polymorph (eV per atom): 0.2235
! Density of states at the Fermi level (states/eV/cell): 5.43
! SG: P4/mmm (123)
! Volume (A^3/atom): 17.5
! Energy relative to the elements (eV/atom): 0.309
&SYSTEM
  ibrav = 0, nat = 4, ntyp = 3
/
ATOMIC_SPECIES
Cr 52.00 Cr.upf
Ir 192.22 Ir.upf
Y 88.91 Y.upf
ATOMIC_POSITIONS crystal
Cr 0.0000 0.0000 0.0498
Cr 0.0000 0.0000 0.4502
Ir 0.5000 0.5000 0.2500
Y 0.5000 0.5000 0.7500
CELL_PARAMETERS angstrom
-1.9664 -0.3536 -2.3262
-2.3030 -0.3319 1.9972
-1.1721 7.3622 -0.1282



Entry 2:
! Ho2AlZn3Cu4 | Alexandria | GGA-PBE | relaxed; values from VASP
! Magnetic moment (μB/atom): 0.00
! Density of states at the Fermi level (states/eV/cell): 4.91
! SG: P-4m2 (115)
! Volume (A^3/atom): 17.0
! Energy relative to the elements (eV/atom): -0.276
&SYSTEM
  ibrav = 0, nat = 10, ntyp = 4
/
ATOMIC_SPECIES
Ho 164.93 Ho.upf
Al 26.98 Al.upf
Zn 65.41 Zn.upf
Cu 63.55 Cu.upf
ATOMIC_POSITIONS crystal
Ho 0.5000 0.0000 0.2506
Ho 0.0000 0.5000 0.7494
Al 0.5000 0.5000 0.5000
Zn 0.0000 0.0000 0.5000
Zn 0.5000 0.0000 0.8630
Zn 0.0000 0.5000 0.1370
Cu 0.5000 0.5000 0.0000
Cu 0.0000 0.0000 0.0000
Cu 0.5000 0.0000 0.6427
Cu 0.0000 0.5000 0.3573
CELL_PARAMETERS angstrom
-1.4568 -3.5453 0.8230
0.2253 -0.9727 -3.7910
10.2559 -3.8439 1.5958



Entry 3:
! V2Pd3Au | Alexandria | GGA-PBE | relaxed; values from VASP
! Magnetic moment (μB/atom): 0.00
! Density of states at the Fermi level (states/eV/cell): 12.43
! SG: Cmcm (63)
! Volume (A^3/atom): 16.8
! Energy relative to the elements (eV/atom): 0.106
&SYSTEM
  ibrav = 0, nat = 12, ntyp = 3
/
ATOMIC_SPECIES
V 50.94 V.upf
Pd 106.42 Pd.upf
Au 196.97 Au.upf
ATOMIC_POSITIONS crystal
V 0.1074 0.0000 0.1074
V 0.1074 0.5000 0.1074
V 0.8926 0.0000 0.8926
V 0.8926 0.5000 0.8926
Pd 0.7158 0.7500 0.2842
Pd 0.4876 0.7500 0.0229
Pd 0.0228 0.2500 0.4876
Pd 0.9772 0.7500 0.5124
Pd 0.5124 0.2500 0.9771
Pd 0.2842 0.2500 0.7158
Au 0.6956 0.2500 0.3044
Au 0.3044 0.7500 0.6956
CELL_PARAMETERS angstrom
-2.9139 -4.0884 -4.1173
0.9112 -4.2248 3.5503
-6.3899 -1.1055 0.3244



Entry 4:
! CeHfIn | Alexandria | GGA-PBE | relaxed; values from VASP
! Magnetic moment (μB/atom): 0.13
! E above lowest polymorph (eV per atom): 0.1429
! Density of states at the Fermi level (states/eV/cell): 10.33
! SG: P-1 (2)
! Volume (A^3/atom): 25.0
! Energy relative to the elements (eV/atom): 0.017
&SYSTEM
  ibrav = 0, nat = 6, ntyp = 3
/
ATOMIC_SPECIES
Ce 140.12 Ce.upf
Hf 178.49 Hf.upf
In 114.82 In.upf
ATOMIC_POSITIONS crystal
Ce 0.8749 0.8374 0.2299
Ce 0.4562 0.5387 0.3516
Hf 0.5978 0.0152 0.6879
Hf 0.7334 0.3608 0.8937
In 0.9948 0.2755 0.5511
In 0.3363 0.1007 0.0304
CELL_PARAMETERS angstrom
5.3147 1.1744 0.7476
3.6746 4.0206 0.7507
3.2824 0.0013 9.2024



Entry 5:
! Re2RhSe | Alexandria | GGA-PBE | relaxed; values from VASP
! Magnetic moment (μB/atom): 0.00
! Formation energy (no corrections) (eV/f.u.): 1.46
! Density of states at the Fermi level (states/eV/cell): 3.28
! SG: R-3m (166)
! Volume (A^3/atom): 15.0
&SYSTEM
  ibrav = 0, nat = 4, ntyp = 3
/
ATOMIC_SPECIES
Re 186.21 Re.upf
Rh 102.91 Rh.upf
Se 78.96 Se.upf
ATOMIC_POSITIONS crystal
Re 0.0022 0.0022 0.0022
Re 0.4978 0.4978 0.4978
Rh 0.2500 0.2500 0.2500
Se 0.7500 0.7500 0.7500
CELL_PARAMETERS angstrom
-4.5917 1.0003 7.1926
-3.8558 -1.7593 7.4737
-2.0545 0.3012 8.3371



Entry 6:
! PrY2HoS6 | Alexandria | GGA-PBE | relaxed; values from VASP
! Magnetic moment (μB/atom): 0.00
! Formation energy (no corrections) (eV/f.u.): -20.45
! Density of states at the Fermi level (states/eV/cell): 0.00
! SG: R3 (146)
! Volume (A^3/atom): 26.3
&SYSTEM
  ibrav = 0, nat = 10, ntyp = 4
/
ATOMIC_SPECIES
Pr 140.91 Pr.upf
Y 88.91 Y.upf
Ho 164.93 Ho.upf
S 32.06 S.upf
ATOMIC_POSITIONS crystal
Pr 0.8093 0.8093 0.5721
Y 0.5184 0.5184 0.4449
Y 0.0142 0.0142 0.9574
Ho 0.3162 0.3162 0.0513
S 0.6131 0.2230 0.2467
S 0.2230 0.9171 0.2467
S 0.9172 0.6131 0.2468
S 0.3962 0.7196 0.7497
S 0.7196 0.1344 0.7498
S 0.1344 0.3962 0.7498
CELL_PARAMETERS angstrom
-5.1192 -4.3495 1.9596
1.1224 -6.9062 0.0984
0.5844 -3.3574 6.5708



Entry 7:
! LaErCu2 | Alexandria | GGA-PBE | relaxed; values from VASP
! Magnetic moment (μB/atom): 0.00
! E above lowest polymorph (eV per atom): 0.0333
! Density of states at the Fermi level (states/eV/cell): 4.27
! SG: Fm-3m (225)
! Volume (A^3/atom): 22.5
! Energy relative to the elements (eV/atom): -0.175
&SYSTEM
  ibrav = 0, nat = 4, ntyp = 3
/
ATOMIC_SPECIES
La 138.91 La.upf
Cu 63.55 Cu.upf
Er 167.26 Er.upf
ATOMIC_POSITIONS crystal
La 0.5000 0.5000 0.5000
Cu 0.2500 0.2500 0.2500
Cu 0.7500 0.7500 0.7500
Er 0.0000 0.0000 0.0000
CELL_PARAMETERS angstrom
5.0295 0.0000 0.0000
2.5148 4.3557 0.0000
2.5148 1.4519 4.1066



Entry 8:
! PmAlZn | Alexandria | GGA-PBE | relaxed; values from VASP
! Magnetic moment (μB/atom): 0.00
! E above lowest polymorph (eV per atom): 0.2106
! Density of states at the Fermi level (states/eV/cell): 1.73
! SG: I4mm (107)
! Volume (A^3/atom): 21.5
! Energy relative to the elements (eV/atom): -0.233
&SYSTEM
  ibrav = 0, nat = 3, ntyp = 3
/
ATOMIC_SPECIES
Zn 65.41 Zn.upf
Al 26.98 Al.upf
Pm 145.00 Pm.upf
ATOMIC_POSITIONS crystal
Zn 0.9735 0.9735 0.9469
Al 0.5912 0.5912 0.1824
Pm 0.2853 0.2853 0.5707
CELL_PARAMETERS angstrom
-1.9486 -1.6835 2.1760
-0.2167 -2.5643 -2.1780
5.6961 -0.2290 2.3120



Entry 9:
! HfTe2Pd | Alexandria | GGA-PBE | relaxed; values from VASP
! Magnetic moment (μB/atom): 0.00
! E above lowest polymorph (eV per atom): 0.0000
! Formation energy (no corrections) (eV/f.u.): -2.97
! Density of states at the Fermi level (states/eV/cell): 0.83
! SG: P2_1/c (14)
! Volume (A^3/atom): 28.7
&SYSTEM
  ibrav = 0, nat = 16, ntyp = 3
/
ATOMIC_SPECIES
Hf 178.49 Hf.upf
Te 127.60 Te.upf
Pd 106.42 Pd.upf
ATOMIC_POSITIONS crystal
Hf 0.4652 0.1905 0.4743
Hf 0.9652 0.3095 0.5257
Hf 0.5348 0.8095 0.5257
Hf 0.0348 0.6905 0.4743
Te 0.7418 0.0999 0.1977
Te 0.2418 0.4001 0.8023
Te 0.2582 0.9001 0.8023
Te 0.7582 0.5999 0.1977
Te 0.7685 0.6574 0.7187
Te 0.2685 0.8426 0.2813
Te 0.2315 0.3426 0.2813
Te 0.7315 0.1574 0.7187
Pd 0.6589 0.4395 0.3969
Pd 0.1589 0.0605 0.6031
Pd 0.3411 0.5605 0.6031
Pd 0.8411 0.9395 0.3969
CELL_PARAMETERS angstrom
6.8933 0.0000 0.0000
0.0000 8.5163 0.0034
0.0000 -3.8382 7.8130



Entry 10:
! Li3IrF | Alexandria | GGA-PBE | relaxed; values from VASP
! Magnetic moment (μB/atom): 0.20
! E above lowest polymorph (eV per atom): 0.8409
! Formation energy (no corrections) (eV/f.u.): 0.02
! Density of states at the Fermi level (states/eV/cell): 11.55
! SG: Pm-3m (221)
! Volume (A^3/atom): 22.5
&SYSTEM
  ibrav = 0, nat = 5, ntyp = 3
/
ATOMIC_SPECIES
Ir 192.22 Ir.upf
Li 6.94 Li.upf
F 19.00 F.upf
ATOMIC_POSITIONS crystal
Ir 0.0000 0.0000 0.0000
Li 0.0000 0.5000 0.0000
Li 0.0000 0.0000 0.5000
Li 0.5000 0.0000 0.0000
F 0.5000 0.5000 0.5000
CELL_PARAMETERS angstrom
4.8239 0.0000 0.0000
0.0000 4.8239 0.0000
0.0000 0.0000 4.8239



Entry 11:
! KYC | Alexandria | GGA-PBE | relaxed; values from VASP
! Magnetic moment (μB/atom): 0.00
! E above lowest polymorph (eV per atom): 0.3795
! Density of states at the Fermi level (states/eV/cell): 0.00
! SG: C2/m (12)
! Volume (A^3/atom): 24.8
! Energy relative to the elements (eV/atom): 0.313
&SYSTEM
  ibrav = 0, nat = 6, ntyp = 3
/
ATOMIC_SPECIES
Y 88.91 Y.upf
K 39.10 K.upf
C 12.01 C.upf
ATOMIC_POSITIONS crystal
Y 0.4809 0.6819 0.7951
Y 0.4810 0.1818 0.2953
K 0.0462 0.6815 0.2948
K 0.9157 0.1819 0.7953
C 0.6083 0.6816 0.2948
C 0.3536 0.1822 0.7957
CELL_PARAMETERS angstrom
6.4628 -1.5552 -0.3970
1.1403 4.5324 0.7197
0.1085 -0.7680 4.6643



Entry 12:
! Tb2Np2S7 | Alexandria | GGA-PBE | relaxed; values from VASP
! Magnetic moment (μB/atom): 0.55
! E above lowest polymorph (eV per atom): 0.0000
! Formation energy (no corrections) (eV/f.u.): -17.62
! Density of states at the Fermi level (states/eV/cell): 17.99
! SG: Imm2 (44)
! Volume (A^3/atom): 21.3
&SYSTEM
  ibrav = 0, nat = 11, ntyp = 3
/
ATOMIC_SPECIES
Tb 158.93 Tb.upf
Np 237.00 Np.upf
S 32.06 S.upf
ATOMIC_POSITIONS crystal
Tb 0.7429 0.8419 0.6724
Tb 0.2571 0.3276 0.1581
Np 0.0000 0.7885 0.2115
Np 0.5000 0.3301 0.6699
S 0.8162 0.0718 0.2957
S 0.8689 0.4102 0.8521
S 0.5000 0.0119 0.9881
S 0.6070 0.5029 0.2832
S 0.3930 0.7168 0.4971
S 0.1838 0.7043 0.9282
S 0.1311 0.1479 0.5898
CELL_PARAMETERS angstrom
3.8303 0.0000 0.8215
1.1120 7.2523 4.1558
0.1954 -0.0663 8.4297



Entry 13:
! MgTcSb | Alexandria | GGA-PBE | relaxed; values from VASP
! Magnetic moment (μB/atom): 0.00
! E above lowest polymorph (eV per atom): 0.3143
! Formation energy (no corrections) (eV/f.u.): 0.53
! Density of states at the Fermi level (states/eV/cell): 3.22
! SG: P-6m2 (187)
! Volume (A^3/atom): 19.8
&SYSTEM
  ibrav = 0, nat = 3, ntyp = 3
/
ATOMIC_SPECIES
Mg 24.30 Mg.upf
Sb 121.76 Sb.upf
Tc 98.00 Tc.upf
ATOMIC_POSITIONS crystal
Mg 0.0000 0.0000 0.9998
Sb 0.3333 0.6667 0.5002
Tc 0.6667 0.3333 0.5001
CELL_PARAMETERS angstrom
-4.4817 -0.0404 0.2338
2.3306 -3.7136 0.9590
0.1619 0.9451 3.2662



Entry 14:
! CsYBeIr2 | Alexandria | GGA-PBE | relaxed; values from VASP
! Magnetic moment (μB/atom): 0.00
! Density of states at the Fermi level (states/eV/cell): 5.23
! SG: P4/mmm (123)
! Volume (A^3/atom): 27.4
! Energy relative to the elements (eV/atom): 2.530
&SYSTEM
  ibrav = 0, nat = 5, ntyp = 4
/
ATOMIC_SPECIES
Cs 132.91 Cs.upf
Y 88.91 Y.upf
Ir 192.22 Ir.upf
Be 9.01 Be.upf
ATOMIC_POSITIONS crystal
Cs 0.0000 0.0000 0.0000
Y 0.0000 0.5000 0.0000
Ir 0.0000 0.0000 0.5000
Ir 0.5000 0.0000 0.0000
Be 0.5000 0.5000 0.5000
CELL_PARAMETERS angstrom
5.0167 0.0000 0.0000
0.0000 5.4366 0.0000
0.0000 0.0000 5.0167



Entry 15:
! KLiLaI4 | Alexandria | GGA-PBE | relaxed; values from VASP
! Magnetic moment (μB/atom): 0.07
! Formation energy (no corrections) (eV/f.u.): -8.88
! Density of states at the Fermi level (states/eV/cell): 5.95
! SG: Imma (74)
! Volume (A^3/atom): 42.0
&SYSTEM
  ibrav = 0, nat = 14, ntyp = 4
/
ATOMIC_SPECIES
K 39.10 K.upf
Li 6.94 Li.upf
La 138.91 La.upf
I 126.90 I.upf
ATOMIC_POSITIONS crystal
K 0.8749 0.7499 0.1249
K 0.1251 0.2501 0.8751
Li 0.5000 0.5000 0.5000
Li 0.0000 0.5000 0.5000
La 0.5000 0.0000 0.5000
La 0.5000 0.0000 0.0000
I 0.7106 0.4213 0.7010
I 0.2755 0.0887 0.2944
I 0.8132 0.0887 0.2944
I 0.7106 0.4213 0.2203
I 0.2894 0.5787 0.7797
I 0.7245 0.9113 0.7056
I 0.1868 0.9113 0.7056
I 0.2894 0.5787 0.2990
CELL_PARAMETERS angstrom
-4.0949 7.7125 -2.7594
-0.1459 -7.7424 -6.2273
-5.2981 -0.5706 6.2674



Entry 16:
! Tb2NdSm6Ho | Alexandria | GGA-PBE | relaxed; values from VASP
! Magnetic moment (μB/atom): 0.00
! Density of states at the Fermi level (states/eV/cell): 27.99
! SG: C2/c (15)
! Volume (A^3/atom): 33.7
! Energy relative to the elements (eV/atom): 0.116
&SYSTEM
  ibrav = 0, nat = 20, ntyp = 4
/
ATOMIC_SPECIES
Tb 158.93 Tb.upf
Nd 144.24 Nd.upf
Sm 150.36 Sm.upf
Ho 164.93 Ho.upf
ATOMIC_POSITIONS crystal
Tb 0.4541 0.7991 0.6982
Tb 0.0459 0.3018 0.2009
Tb 0.5459 0.2009 0.3018
Tb 0.9541 0.6982 0.7991
Nd 0.2500 0.9745 0.0255
Nd 0.7500 0.0255 0.9745
Sm 0.0554 0.1198 0.7544
Sm 0.4446 0.2456 0.8802
Sm 0.9446 0.8802 0.2456
Sm 0.5554 0.7544 0.1198
Sm 0.3146 0.9865 0.4346
Sm 0.1854 0.5654 0.0135
Sm 0.6854 0.0135 0.5654
Sm 0.8146 0.4346 0.9865
Sm 0.1190 0.7076 0.4906
Sm 0.3810 0.5094 0.2924
Sm 0.8810 0.2924 0.5094
Sm 0.6190 0.4906 0.7076
Ho 0.2500 0.4098 0.5902
Ho 0.7500 0.5902 0.4098
CELL_PARAMETERS angstrom
-2.8365 7.5913 5.2664
-1.9776 -5.9037 6.3680
8.4348 2.8008 -0.5709



Entry 17:
! CdInBi2 | Alexandria | GGA-PBE | relaxed; values from VASP
! Magnetic moment (μB/atom): 0.00
! Density of states at the Fermi level (states/eV/cell): 1.99
! SG: P4/mmm (123)
! Volume (A^3/atom): 28.8
! Energy relative to the elements (eV/atom): 0.093
&SYSTEM
  ibrav = 0, nat = 4, ntyp = 3
/
ATOMIC_SPECIES
Cd 112.41 Cd.upf
Bi 208.98 Bi.upf
In 114.82 In.upf
ATOMIC_POSITIONS crystal
Cd 0.5000 0.0000 0.0000
Bi 0.0000 0.0000 0.5000
Bi 0.0000 0.5000 0.0000
In 0.5000 0.5000 0.5000
CELL_PARAMETERS angstrom
3.5627 0.0000 0.0000
0.0000 5.6843 0.0000
0.0000 0.0000 5.6843



Entry 18:
! PmYAlSi | Alexandria | GGA-PBE | relaxed; values from VASP
! Magnetic moment (μB/atom): 0.00
! E above lowest polymorph (eV per atom): 0.2831
! Formation energy (no corrections) (eV/f.u.): -1.46
! Density of states at the Fermi level (states/eV/cell): 2.59
! SG: F-43m (216)
! Volume (A^3/atom): 23.6
&SYSTEM
  ibrav = 0, nat = 4, ntyp = 4
/
ATOMIC_SPECIES
Y 88.91 Y.upf
Si 28.09 Si.upf
Al 26.98 Al.upf
Pm 145.00 Pm.upf
ATOMIC_POSITIONS crystal
Y 0.5000 0.5000 0.5000
Si 0.7500 0.7500 0.7500
Al 0.2500 0.2500 0.2500
Pm 0.0000 0.0000 0.0000
CELL_PARAMETERS angstrom
-4.5680 -0.3396 -2.2750
-4.1733 -1.0045 2.7807
-3.5091 3.6437 0.7532



Entry 19:
! AlNiSn2 | Alexandria | GGA-PBE | relaxed; values from VASP
! Magnetic moment (μB/atom): 0.00
! Density of states at the Fermi level (states/eV/cell): 2.08
! SG: R-3m (166)
! Volume (A^3/atom): 21.6
! Energy relative to the elements (eV/atom): 0.110
&SYSTEM
  ibrav = 0, nat = 4, ntyp = 3
/
ATOMIC_SPECIES
Ni 58.69 Ni.upf
Sn 118.71 Sn.upf
Al 26.98 Al.upf
ATOMIC_POSITIONS crystal
Ni 0.5000 0.5000 0.5000
Sn 0.1017 0.1017 0.6950
Sn 0.8983 0.8983 0.3050
Al 0.0000 0.0000 0.0000
CELL_PARAMETERS angstrom
-0.0192 -2.0492 -2.6141
2.8579 -1.2144 -1.1793
0.2303 -8.1652 4.2886